The following is a PBE with a Hubbard U calculation of a relaxed TaCrP2O crystal, from the Alexandria database.

Structure (POSCAR):
```
TaCrP2O
1.0
4.9483 0.0000 0.0000
0.0000 4.9483 0.0000
0.0000 0.0000 3.8462
Ta Cr P O
1 1 2 1
direct
0.0000 0.0000 0.0000
0.5000 0.5000 0.5000
0.0000 0.5000 0.0000
0.5000 0.0000 0.0000
0.0000 0.0000 0.5000
```

Properties
energy above the most stable polymorph in this dataset	0	meV/atom
crystal system	tetragonal
total energy	-7.440	eV per atom
symmetry	P4/mmm, No. 123